The following is a DFT calculation (PBE) of a relaxed structure of ZrIn3Te.

## Properties
**Total magnetic moment**: 0.000 μB/f.u.
**DFT total energy**: -17.00 eV/cell
**Raw formation energy**: 281 kJ/mol of formula units

Cell: 5.6870 5.6870 5.6870 Å, 90.00 90.00 90.00°
Space group Pm-3m (No. 221)
Unique sites:
Zr 0.0000 0.0000 0.0000 (multiplicity 1)
In 0.0000 0.0000 0.5000 (multiplicity 3)
Te 0.5000 0.5000 0.5000 (multiplicity 1)